# 1
The following is a SCAN calculation of a crystal of Zr3Cu relaxed with PBEsol, from the Alexandria database.

Summary:
Theoretical density (Mg/m³): 7.18
ΔH_f (0 K) (eV per atom): -0.0999

Cell: 3.1467 3.1467 7.8818 Å, 90.00 90.00 90.00°
Last column: nearest neighbours and their distance in Å.
Fractional positions:
Zr 0.0000 0.0000 0.5000  12 Zr 3.13-3.15
Zr 0.5000 0.5000 0.7797  4 Cu 2.82, 8 Zr 3.13-3.15
Zr 0.5000 0.5000 0.2203  4 Cu 2.82, 8 Zr 3.13-3.15
Cu 0.0000 0.0000 0.0000  8 Zr 2.82, 4 Cu 3.15

=====

# 2
The following is a SCAN calculation of a crystal of NiH12Br2O14 relaxed with PBEsol, from the Alexandria database.

Summary:
Calculated total energy (eV per atom): -6.975
Theoretical density (Mg/m³): 2.57

Cell: 5.8220 7.6266 7.6266 Å, 120.00 90.00 90.00°
Last column: nearest neighbours and their distance in Å.
Fractional positions:
H 0.2831 0.7311 0.0629  1 O 0.99
H 0.7106 0.0601 0.7251  1 O 0.99
H 0.7169 0.6682 0.7311  1 O 0.99
H 0.2831 0.3318 0.2689  1 O 0.99
H 0.7169 0.0629 0.3318  1 O 0.99
H 0.7106 0.6650 0.9399  1 O 0.99
H 0.7169 0.2689 0.9371  1 O 0.99
H 0.2894 0.7251 0.6650  1 O 0.99
H 0.2831 0.9371 0.6682  1 O 0.99
H 0.2894 0.3350 0.0601  1 O 0.99
H 0.7106 0.2749 0.3350  1 O 0.99
H 0.2894 0.9399 0.2749  1 O 0.99
O 0.2782 0.4529 0.9001  1 Br 1.65, 2 H 1.84-1.85
O 0.7066 0.1264 0.2468  2 H 0.99
O 0.7218 0.5529 0.4529  1 Br 1.65, 2 H 1.84-1.85
O 0.1020 0.6667 0.3333  1 Br 1.63
O 0.2934 0.2468 0.1203  2 H 0.99
O 0.2782 0.0999 0.5529  1 Br 1.65, 2 H 1.84-1.85
O 0.8980 0.3333 0.6667  1 Br 1.63
O 0.7066 0.1203 0.8736  2 H 0.99
O 0.2934 0.8797 0.1264  2 H 0.99
O 0.2934 0.8736 0.7532  2 H 0.99
O 0.7066 0.7532 0.8797  2 H 0.99
O 0.2782 0.4471 0.5471  1 Br 1.65, 2 H 1.84-1.85
O 0.7218 0.5471 0.0999  1 Br 1.65, 2 H 1.84-1.85
O 0.7218 0.9001 0.4471  1 Br 1.65, 2 H 1.84-1.85
Ni 0.5000 0.0000 0.0000  6 O 2.03
Br 0.8224 0.6667 0.3333  4 O 1.63-1.65
Br 0.1776 0.3333 0.6667  4 O 1.63-1.65

=====

# 3
The following is a SCAN calculation of a crystal of Mg2TiCu relaxed with PBEsol, from the Alexandria database.

Summary:
Theoretical density (Mg/m³): 4.02
ΔH_f (0 K) (eV per atom): 0.2021

Cell: 4.5386 4.5386 4.5386 Å, 60.00 60.00 60.00°
Last column: nearest neighbours and their distance in Å.
Fractional positions:
Mg 0.7500 0.7500 0.7500  4 Cu 2.78, 4 Ti 2.78
Mg 0.2500 0.2500 0.2500  4 Cu 2.78, 4 Ti 2.78
Cu 0.5000 0.5000 0.5000  8 Mg 2.78
Ti 0.0000 0.0000 0.0000  8 Mg 2.78

=====

# 4
The following is a SCAN calculation of a crystal of K2PbAu relaxed with PBEsol, from the Alexandria database.

Summary:
Theoretical density (Mg/m³): 6.01
ΔH_f (0 K) (eV per atom): -0.3246

Cell: 5.0195 5.0189 6.7589 Å, 111.78 90.00 120.00°
Last column: nearest neighbours and their distance in Å.
Fractional positions:
K 0.0174 0.0347 0.0522  3 Pb 3.51, 3 Au 3.52, 4 K 3.64-3.91
K 0.2306 0.4612 0.6920  3 Au 3.47, 3 Pb 3.48, 3 K 3.64
Au 0.7932 0.5864 0.3795  3 Pb 2.90
Pb 0.4588 0.9177 0.3763  3 Au 2.90

=====

# 5
The following is a SCAN calculation of a crystal of ZrZnFe2 relaxed with PBEsol, from the Alexandria database.

Summary:
Theoretical density (Mg/m³): 8.15
ΔH_f (0 K) (eV per atom): -0.0133

Cell: 3.6341 3.6341 4.8716 Å, 111.90 111.90 90.00°
Last column: nearest neighbours and their distance in Å.
Fractional positions:
Zr 0.2500 0.7500 0.5000  8 Fe 2.57-2.75, 4 Zn 2.75
Zn 0.5000 0.5000 0.0000  8 Fe 2.57-2.75, 4 Zr 2.75
Fe 0.7500 0.2500 0.5000  4 Zr 2.57, 4 Fe 2.75, 4 Zn 2.75
Fe 0.0000 0.0000 0.0000  4 Zn 2.57, 4 Zr 2.75, 4 Fe 2.75

=====

# 6
The following is a SCAN calculation of a crystal of LiBeS2 relaxed with PBEsol, from the Alexandria database.

Summary:
Uncorrected formation energy (meV/atom): -859
Theoretical density (Mg/m³): 2.03

Cell: 5.5060 5.8223 5.5060 Å, 61.78 90.00 118.22°
Last column: nearest neighbours and their distance in Å.
Fractional positions:
Li 0.5000 0.0000 0.5000  4 S 2.40
Li 0.2500 0.5000 0.2500  4 S 2.40
S 0.0760 0.7500 0.8750  2 Be 2.07
S 0.8750 0.2500 0.6740  2 Be 2.07
S 0.3750 0.2500 0.0760  2 Be 2.07
S 0.6740 0.7500 0.3750  2 Be 2.07
Be 0.0000 0.0000 0.0000  4 S 2.07
Be 0.7500 0.5000 0.7500  4 S 2.07

=====

# 7
The following is a SCAN calculation of a crystal of BeNi2Pt relaxed with PBEsol, from the Alexandria database.

Summary:
Theoretical density (Mg/m³): 12.34
ΔH_f (0 K) (eV per atom): -0.3513

Cell: 2.6895 2.6895 5.9789 Å, 90.00 90.00 90.00°
Last column: nearest neighbours and their distance in Å.
Fractional positions:
Be 0.5000 0.5000 0.7700  4 Ni 2.26, 4 Pt 2.38
Ni 0.5000 0.5000 0.2265  8 Ni 2.43-2.69, 4 Pt 2.63
Ni 0.0000 0.0000 0.9742  4 Be 2.26, 4 Ni 2.43
Pt 0.0000 0.0000 0.5294  4 Be 2.38, 5 Ni 2.63-2.66

=====

# 8
The following is a SCAN calculation of a crystal of Cr4TcMo relaxed with PBEsol, from the Alexandria database.

Summary:
Theoretical density (Mg/m³): 8.97
ΔH_f (0 K) (eV per atom): 0.1056

Cell: 4.7214 4.7214 4.7214 Å, 60.00 60.00 60.00°
Last column: nearest neighbours and their distance in Å.
Fractional positions:
Mo 0.7500 0.7500 0.7500  12 Cr 2.77, 4 Tc 2.89
Cr 0.8736 0.3755 0.3755  6 Cr 2.35-2.37
Cr 0.3755 0.3755 0.3755  6 Cr 2.35-2.37
Cr 0.3755 0.3755 0.8736  6 Cr 2.35-2.37
Cr 0.3755 0.8736 0.3755  6 Cr 2.35-2.37
Tc 0.0000 0.0000 0.0000  12 Cr 2.77, 4 Mo 2.89

=====

# 9
The following is a SCAN calculation of a crystal of Rb2SiSb relaxed with PBEsol, from the Alexandria database.

Summary:
Uncorrected formation energy (meV/atom): 404
Theoretical density (Mg/m³): 3.85

Cell: 5.8054 5.8054 5.8054 Å, 60.00 60.00 60.00°
Last column: nearest neighbours and their distance in Å.
Fractional positions:
Rb 0.2500 0.2500 0.2500  4 Sb 3.56, 4 Si 3.56
Rb 0.7500 0.7500 0.7500  4 Sb 3.56, 4 Si 3.56
Sb 0.5000 0.5000 0.5000  8 Rb 3.56
Si 0.0000 0.0000 0.0000  8 Rb 3.56

=====

# 10
The following is a SCAN calculation of a crystal of ZrSiRu relaxed with PBEsol, from the Alexandria database.

Summary:
Uncorrected formation energy (meV/atom): -469
Theoretical density (Mg/m³): 6.80

Cell: 4.2386 4.2386 4.2386 Å, 60.00 60.00 60.00°
Last column: nearest neighbours and their distance in Å.
Fractional positions:
Si 0.0000 0.0000 0.0000  4 Ru 2.60
Zr 0.5000 0.5000 0.5000  4 Ru 2.60
Ru 0.7500 0.7500 0.7500  4 Zr 2.60, 4 Si 2.60

=====

# 11
The following is a SCAN calculation of a crystal of AgTe4Os relaxed with PBEsol, from the Alexandria database.

Summary:
Uncorrected formation energy (meV/atom): 1462
Theoretical density (Mg/m³): 8.67

Cell: 6.0270 6.0270 6.0270 Å, 60.00 60.00 60.00°
Last column: nearest neighbours and their distance in Å.
Fractional positions:
Te 0.3745 0.3745 0.8765  6 Te 3.00-3.03
Te 0.8765 0.3745 0.3745  6 Te 3.00-3.03
Te 0.3745 0.8765 0.3745  6 Te 3.00-3.03
Te 0.3745 0.3745 0.3745  6 Te 3.00-3.03
Ag 0.7500 0.7500 0.7500  12 Te 3.53, 4 Os 3.69
Os 0.0000 0.0000 0.0000  12 Te 3.53, 4 Ag 3.69

=====

# 12
The following is a SCAN calculation of a crystal of InB3O relaxed with PBEsol, from the Alexandria database.

Summary:
Uncorrected formation energy (meV/atom): 1744
Theoretical density (Mg/m³): 5.17

Cell: 3.7426 3.7426 3.7426 Å, 90.00 90.00 90.00°
Last column: nearest neighbours and their distance in Å.
Fractional positions:
B 0.0000 0.5000 0.0000  2 O 1.87
B 0.5000 0.0000 0.0000  2 O 1.87
B 0.0000 0.0000 0.5000  2 O 1.87
In 0.5000 0.5000 0.5000  12 B 2.65
O 0.0000 0.0000 0.0000  6 B 1.87

=====

# 13
The following is a SCAN calculation of a crystal of SrMn2TcBi relaxed with PBEsol, from the Alexandria database.

Summary:
Theoretical density (Mg/m³): 6.98
ΔH_f (0 K) (eV per atom): 0.6528

Cell: 4.6539 4.6539 5.5435 Å, 90.00 90.00 90.00°
Last column: nearest neighbours and their distance in Å.
Fractional positions:
Mn 0.0000 0.5000 0.0000  2 Tc 2.33
Mn 0.5000 0.0000 0.0000  2 Tc 2.33
Sr 0.0000 0.0000 0.5000  2 Tc 2.77
Tc 0.0000 0.0000 0.0000  4 Mn 2.33
Bi 0.5000 0.5000 0.5000  4 Sr 3.29, 8 Mn 3.62

=====

# 14
The following is a SCAN calculation of a crystal of Cu2H3ClO3 relaxed with PBEsol, from the Alexandria database.

Summary:
Theoretical density (Mg/m³): 3.71
Excess energy over the best structure of this formula in the dataset (eV per formula unit): 0.083

Cell: 5.5823 5.6463 6.0642 Å, 90.00 90.00 92.22°
Last column: nearest neighbours and their distance in Å.
Fractional positions:
H 0.8372 0.5451 0.7500  1 O 0.99
H 0.1867 0.7985 0.0426  1 O 1.00
H 0.8133 0.2015 0.9574  1 O 1.00
H 0.8133 0.2015 0.5426  1 O 1.00
H 0.1867 0.7985 0.4574  1 O 1.00
H 0.1628 0.4549 0.2500  1 O 0.99
O 0.3615 0.8123 0.4934  1 H 1.00
O 0.3246 0.3874 0.2500  1 H 0.99
O 0.3615 0.8123 0.0066  1 H 1.00
O 0.6754 0.6126 0.7500  1 H 0.99
O 0.6385 0.1877 0.9934  1 H 1.00
O 0.6385 0.1877 0.5066  1 H 1.00
Cu 0.5000 0.5000 0.0000  4 O 1.90-1.95
Cu 0.4741 0.0065 0.7500  4 O 1.99-2.00
Cu 0.5000 0.5000 0.5000  4 O 1.90-1.95
Cu 0.5259 0.9935 0.2500  4 O 1.99-2.00
Cl 0.1124 0.2826 0.7500  3 H 2.13-2.18
Cl 0.8876 0.7174 0.2500  3 H 2.13-2.18

=====

# 15
The following is a SCAN calculation of a crystal of CeIn3 relaxed with PBEsol, from the Alexandria database.

Summary:
Theoretical density (Mg/m³): 8.22
ΔH_f (0 K) (eV per atom): -0.5172

Cell: 4.6090 4.6090 4.6090 Å, 90.00 90.00 90.00°
Last column: nearest neighbours and their distance in Å.
Fractional positions:
In 0.5000 0.0000 0.5000  4 Ce 3.26, 8 In 3.26
In 0.0000 0.5000 0.5000  8 In 3.26, 4 Ce 3.26
In 0.5000 0.5000 0.0000  8 In 3.26, 4 Ce 3.26
Ce 0.0000 0.0000 0.0000  12 In 3.26

=====

# 16
The following is a SCAN calculation of a crystal of AlAgBi2F relaxed with PBEsol, from the Alexandria database.

Summary:
Uncorrected formation energy (meV/atom): -623
Theoretical density (Mg/m³): 8.59

Cell: 3.5121 5.6106 5.6106 Å, 90.00 90.00 90.00°
Last column: nearest neighbours and their distance in Å.
Fractional positions:
F 0.5000 0.0000 0.0000  2 Al 1.76
Al 0.0000 0.0000 0.0000  2 F 1.76
Bi 0.0000 0.5000 0.0000  2 Al 2.81
Bi 0.0000 0.0000 0.5000  2 Al 2.81
Ag 0.5000 0.5000 0.5000  8 Bi 3.31, 2 Ag 3.51

=====

# 17
The following is a SCAN calculation of a crystal of Si2AsCl relaxed with PBEsol, from the Alexandria database.

Summary:
Uncorrected formation energy (meV/atom): 446
Theoretical density (Mg/m³): 3.92
Excess energy over the best structure of this formula in the dataset (eV per formula unit): 1.817

Cell: 3.0812 4.4997 5.7750 Å, 112.93 105.47 90.00°
Last column: nearest neighbours and their distance in Å.
Fractional positions:
Cl 0.7538 0.2538 0.5076  6 Si 2.73-3.04
As 0.5400 0.5400 0.0801  6 Si 2.65-2.86
Si 0.2517 0.7517 0.5033  2 Si 2.58, 2 As 2.65, 4 Cl 2.73
Si 0.9545 0.9545 0.9089  2 Si 2.58, 4 As 2.86

=====

# 18
The following is a SCAN calculation of a crystal of Na8Ga2O7 relaxed with PBEsol, from the Alexandria database.

Summary:
Uncorrected formation energy (meV/atom): -1771
Theoretical density (Mg/m³): 3.20

Cell: 8.6351 10.0095 10.9526 Å, 90.00 90.00 107.55°
Last column: nearest neighbours and their distance in Å.
Fractional positions:
Na 0.4311 0.8566 0.5282  3 O 2.21-2.34
Na 0.1067 0.5330 0.2597  6 O 2.42-2.60
Na 0.3401 0.0178 0.0036  4 O 2.25-2.44
Na 0.8813 0.0768 0.4751  4 O 2.24-2.42
Na 0.5009 0.6279 0.2688  4 O 2.26-2.42
Na 0.1187 0.9232 0.5249  4 O 2.24-2.42
Na 0.3401 0.5178 0.4964  4 O 2.25-2.44
Na 0.8933 0.9670 0.7597  6 O 2.42-2.60
Na 0.0841 0.1436 0.9610  3 O 2.28-2.40
Na 0.2868 0.5702 0.7509  4 O 2.32-2.59
Na 0.1187 0.4232 0.9751  4 O 2.24-2.42
Na 0.7429 0.7888 0.5537  4 O 2.26-2.44
Na 0.2868 0.0702 0.7491  4 O 2.32-2.59
Na 0.2571 0.7112 0.0537  4 O 2.26-2.44
Na 0.1067 0.0330 0.2403  6 O 2.42-2.60
Na 0.0841 0.6436 0.5390  3 O 2.28-2.40
Na 0.6599 0.4822 0.5036  4 O 2.25-2.44
Na 0.5689 0.1434 0.4718  3 O 2.21-2.34
Na 0.7132 0.9298 0.2509  4 O 2.32-2.59
Na 0.4991 0.3721 0.7312  4 O 2.26-2.42
Na 0.9159 0.3564 0.4610  3 O 2.28-2.40
Na 0.5689 0.6434 0.0282  3 O 2.21-2.34
Na 0.5009 0.1279 0.2312  4 O 2.26-2.42
Na 0.7132 0.4298 0.2491  4 O 2.32-2.59
Na 0.8933 0.4670 0.7403  6 O 2.42-2.60
Na 0.2571 0.2112 0.4463  4 O 2.26-2.44
Na 0.8813 0.5768 0.0249  4 O 2.24-2.42
Na 0.4311 0.3566 0.9718  3 O 2.21-2.34
Na 0.7429 0.2888 0.9463  4 O 2.26-2.44
Na 0.9159 0.8564 0.0390  3 O 2.28-2.40
Na 0.6599 0.9822 0.9964  4 O 2.25-2.44
Na 0.4991 0.8721 0.7688  4 O 2.26-2.42
O 0.1035 0.7840 0.2018  2 Ga 1.91-1.92
O 0.1026 0.1216 0.6108  1 Ga 1.85
O 0.5441 0.6068 0.6521  1 Ga 1.89
O 0.6780 0.8005 0.8817  1 Ga 1.85
O 0.4559 0.8932 0.1521  1 Ga 1.89
O 0.1026 0.6216 0.8892  1 Ga 1.85
O 0.3220 0.1995 0.1183  1 Ga 1.85
O 0.1057 0.9327 0.8889  1 Ga 1.86
O 0.8943 0.0673 0.1111  1 Ga 1.86
O 0.5441 0.1068 0.8479  1 Ga 1.89
O 0.8974 0.3784 0.1108  1 Ga 1.85
O 0.2486 0.3166 0.8244  1 Ga 1.85
O 0.1035 0.2840 0.2982  2 Ga 1.91-1.92
O 0.8965 0.7160 0.7018  2 Ga 1.91-1.92
O 0.7514 0.1834 0.3244  1 Ga 1.85
O 0.6719 0.4969 0.8839  1 Ga 1.87
O 0.3281 0.5031 0.1161  1 Ga 1.87
O 0.4559 0.3932 0.3479  1 Ga 1.89
O 0.3220 0.6995 0.3817  1 Ga 1.85
O 0.3281 0.0031 0.3839  1 Ga 1.87
O 0.6780 0.3005 0.6183  1 Ga 1.85
O 0.1057 0.4327 0.6111  1 Ga 1.86
O 0.8943 0.5673 0.3889  1 Ga 1.86
O 0.2486 0.8166 0.6756  1 Ga 1.85
O 0.7514 0.6834 0.1756  1 Ga 1.85
O 0.8974 0.8784 0.3892  1 Ga 1.85
O 0.8965 0.2160 0.7982  2 Ga 1.91-1.92
O 0.6719 0.9969 0.6161  1 Ga 1.87
Ga 0.9078 0.2265 0.2026  4 O 1.85-1.92
Ga 0.6918 0.1533 0.7161  4 O 1.85-1.91
Ga 0.6918 0.6533 0.7839  4 O 1.85-1.91
Ga 0.0922 0.2735 0.7026  4 O 1.85-1.92
Ga 0.3082 0.3467 0.2161  4 O 1.85-1.91
Ga 0.0922 0.7735 0.7974  4 O 1.85-1.92
Ga 0.3082 0.8467 0.2839  4 O 1.85-1.91
Ga 0.9078 0.7265 0.2974  4 O 1.85-1.92

=====

# 19
The following is a SCAN calculation of a crystal of Rb3FeCo relaxed with PBEsol, from the Alexandria database.

Summary:
Theoretical density (Mg/m³): 2.57
ΔH_f (0 K) (eV per atom): 1.1223

Cell: 6.2141 6.2141 6.2141 Å, 90.00 90.00 90.00°
Last column: nearest neighbours and their distance in Å.
Fractional positions:
Rb 0.0000 0.0000 0.5000  2 Co 3.11
Rb 0.0000 0.5000 0.0000  2 Co 3.11
Rb 0.5000 0.0000 0.0000  2 Co 3.11
Fe 0.5000 0.5000 0.5000  12 Rb 4.39
Co 0.0000 0.0000 0.0000  6 Rb 3.11

=====

# 20
The following is a SCAN calculation of a crystal of Ti3Mn2NiP6O24 relaxed with PBEsol, from the Alexandria database.

Summary:
Uncorrected formation energy (meV/atom): -2624
Theoretical density (Mg/m³): 3.33

Cell: 8.5662 8.5662 8.5051 Å, 59.76 59.76 60.00°
Last column: nearest neighbours and their distance in Å.
Fractional positions:
P 0.2476 0.9556 0.2578  4 O 1.49-1.56
P 0.9556 0.5390 0.2578  4 O 1.49-1.56
P 0.7488 0.0453 0.7471  4 O 1.52-1.55
P 0.5390 0.2476 0.2578  4 O 1.49-1.56
P 0.4588 0.7488 0.7471  4 O 1.52-1.55
P 0.0453 0.4588 0.7471  4 O 1.52-1.55
O 0.4104 0.7582 0.2582  1 P 1.56
O 0.8105 0.0014 0.5650  1 P 1.54
O 0.4436 0.5854 0.7296  1 P 1.55
O 0.1943 0.9824 0.4412  1 P 1.49
O 0.7364 0.0837 0.2315  1 P 1.56
O 0.3822 0.1943 0.4412  1 P 1.49
O 0.2414 0.4436 0.7296  1 P 1.55
O 0.9483 0.7364 0.2315  1 P 1.56
O 0.4938 0.3129 0.0736  1 P 1.56
O 0.6709 0.8878 0.9249  1 P 1.54
O 0.2675 0.9097 0.7757  1 P 1.52
O 0.0014 0.6230 0.5650  1 P 1.54
O 0.9824 0.3822 0.4412  1 P 1.49
O 0.7582 0.5732 0.2582  1 P 1.56
O 0.5163 0.6709 0.9249  1 P 1.54
O 0.6230 0.8105 0.5650  1 P 1.54
O 0.8878 0.5163 0.9249  1 P 1.54
O 0.5732 0.4104 0.2582  1 P 1.56
O 0.9097 0.0471 0.7757  1 P 1.52
O 0.5854 0.2414 0.7296  1 P 1.55
O 0.3129 0.1198 0.0736  1 P 1.56
O 0.0837 0.9483 0.2315  1 P 1.56
O 0.1198 0.4938 0.0736  1 P 1.56
O 0.0471 0.2675 0.7757  1 P 1.52
Ti 0.6454 0.6454 0.0638  6 O 1.86-2.01
Ti 0.8583 0.8583 0.4252  6 O 1.89-2.01
Ti 0.3542 0.3542 0.9373  6 O 1.86-2.06
Mn 0.5013 0.5013 0.4960  6 O 2.19-2.22
Mn 0.0042 0.0042 0.9875  6 O 2.13-2.26
Ni 0.1413 0.1413 0.5762  6 O 1.95-2.07